A plane-wave DFT calculation with PBE was carried out for a relaxed structure of Ca3Ga2Au4.

## Properties
Energy relative to the elements (kJ/mol of atoms): -69.1
D(E_F) (states/eV/cell): 11.2
Total moment (μB/cell): 0.00

Geometry as CIF:
```
data_Ca3Ga2Au4
_chemical_formula_sum 'Ca6 Ga4 Au8'
_symmetry_space_group_name_H-M 'C 1 2/m 1'
_symmetry_Int_Tables_number 12
_cell_length_a 10.854
_cell_length_b 4.611
_cell_length_c 8.825
_cell_angle_alpha 90.00
_cell_angle_beta 112.88
_cell_angle_gamma 90.00
loop_
_symmetry_equiv_pos_as_xyz
'x,y,z'
'-x,-y,-z'
'-x,y,-z'
'x,-y,z'
'x+1/2,y+1/2,z'
'-x+1/2,-y+1/2,-z'
'-x+1/2,y+1/2,-z'
'x+1/2,-y+1/2,z'
loop_
_atom_site_label
_atom_site_type_symbol
_atom_site_fract_x
_atom_site_fract_y
_atom_site_fract_z
_atom_site_occupancy
Ca1 Ca 0.000 0.000 0.000 1
Ca2 Ca 0.143 0.500 0.691 1
Ga1 Ga 0.154 0.500 0.326 1
Au1 Au 0.090 0.000 0.413 1
Au2 Au 0.220 0.500 0.074 1
```

A plane-wave DFT calculation with PBE was carried out for a relaxed structure of CaGa4Au6.

## Properties
Energy relative to the elements (kJ/mol of atoms): -32.4
Energy relative to the lowest polymorph listed for this composition (meV/atom): 0
D(E_F) (states/eV/cell): 4.0
Total moment (μB/cell): 0.00

Geometry as CIF:
```
data_CaGa4Au6
_chemical_formula_sum 'Ca1 Ga4 Au6'
_symmetry_space_group_name_H-M 'P -6'
_symmetry_Int_Tables_number 174
_cell_length_a 7.2464
_cell_length_b 7.2464
_cell_length_c 5.0205
_cell_angle_alpha 90.00
_cell_angle_beta 90.00
_cell_angle_gamma 120.00
loop_
_symmetry_equiv_pos_as_xyz
'x,y,z'
'-x+y,-x,-z'
'-y,x-y,z'
'x,y,-z'
'-x+y,-x,z'
'-y,x-y,-z'
loop_
_atom_site_label
_atom_site_type_symbol
_atom_site_fract_x
_atom_site_fract_y
_atom_site_fract_z
_atom_site_occupancy
Ca1 Ca 0.0000 0.0000 0.0000 1
Ga1 Ga 0.0117 0.5935 0.5000 1
Ga2 Ga 0.6667 0.3333 0.0000 1
Au1 Au 0.0731 0.4922 0.0000 1
Au2 Au 0.2400 0.0069 0.5000 1
```

A plane-wave DFT calculation with PBE was carried out for a relaxed structure of Ca2Ga2Au.

## Properties
Energy relative to the elements (kJ/mol of atoms): -28.4
Energy relative to the lowest polymorph listed for this composition (meV/atom): 305
D(E_F) (states/eV/cell): 5.9
Total moment (μB/cell): 0.00

Geometry as CIF:
```
data_Ca2Ga2Au
_chemical_formula_sum 'Ca4 Ga4 Au2'
_symmetry_space_group_name_H-M 'I 4/m m m'
_symmetry_Int_Tables_number 139
_symmetry_space_group_name_Hall '-I 4 2'
_cell_length_a 5.938
_cell_length_b 5.938
_cell_length_c 7.428
_cell_angle_alpha 90.00
_cell_angle_beta 90.00
_cell_angle_gamma 90.00
loop_
_atom_site_label
_atom_site_type_symbol
_atom_site_fract_x
_atom_site_fract_y
_atom_site_fract_z
_atom_site_occupancy
Ca1 Ca 0.000 0.500 0.250 1
Ga1 Ga 0.000 0.000 0.158 1
Au1 Au 0.000 0.000 0.500 1
```

A plane-wave DFT calculation with PBE was carried out for a relaxed structure of CaGa12Au4.

## Properties
Energy relative to the elements (kJ/mol of atoms): -14.8
D(E_F) (states/eV/cell): 11.5
Total moment (μB/cell): 0.00

Geometry as CIF:
```
data_CaGa12Au4
_chemical_formula_sum 'Ca2 Ga24 Au8'
_symmetry_space_group_name_H-M 'I m -3'
_symmetry_Int_Tables_number 204
_symmetry_space_group_name_Hall '-I 2 2 3'
_cell_length_a 9.011
_cell_length_b 9.011
_cell_length_c 9.011
_cell_angle_alpha 90.00
_cell_angle_beta 90.00
_cell_angle_gamma 90.00
loop_
_atom_site_label
_atom_site_type_symbol
_atom_site_fract_x
_atom_site_fract_y
_atom_site_fract_z
_atom_site_occupancy
Ca1 Ca 0.000 0.000 0.000 1
Ga1 Ga 0.000 0.147 0.354 1
Au1 Au 0.250 0.250 0.250 1
```

A plane-wave DFT calculation with PBE was carried out for a relaxed structure of Ca5Ga2Au12.

## Properties
Energy relative to the elements (kJ/mol of atoms): -54.6
D(E_F) (states/eV/cell): 13.1
Total moment (μB/cell): 0.00

Geometry as CIF:
```
data_Ca5Ga2Au12
_chemical_formula_sum 'Ca10 Ga4 Au24'
_symmetry_space_group_name_H-M 'C 1 2/m 1'
_symmetry_Int_Tables_number 12
_cell_length_a 15.668
_cell_length_b 7.574
_cell_length_c 6.931
_cell_angle_alpha 90.00
_cell_angle_beta 93.33
_cell_angle_gamma 90.00
loop_
_symmetry_equiv_pos_as_xyz
'x,y,z'
'-x,-y,-z'
'-x,y,-z'
'x,-y,z'
'x+1/2,y+1/2,z'
'-x+1/2,-y+1/2,-z'
'-x+1/2,y+1/2,-z'
'x+1/2,-y+1/2,z'
loop_
_atom_site_label
_atom_site_type_symbol
_atom_site_fract_x
_atom_site_fract_y
_atom_site_fract_z
_atom_site_occupancy
Ca1 Ca 0.000 0.000 0.000 1
Ca2 Ca 0.195 0.500 0.546 1
Ca3 Ca 0.244 0.000 0.932 1
Ga1 Ga 0.000 0.283 0.500 1
Au1 Au 0.057 0.500 0.216 1
Au2 Au 0.101 0.000 0.601 1
Au3 Au 0.105 0.305 0.852 1
Au4 Au 0.150 0.185 0.251 1
```

A plane-wave DFT calculation with PBE was carried out for a relaxed structure of Ca3Ga5Au6.

## Properties
Energy relative to the elements (kJ/mol of atoms): -55.7
D(E_F) (states/eV/cell): 8.3
Total moment (μB/cell): 0.00

Geometry as CIF:
```
data_Ca3Ga5Au6
_chemical_formula_sum 'Ca6 Ga10 Au12'
_symmetry_space_group_name_H-M 'P m m n'
_symmetry_Int_Tables_number 59
_cell_length_a 4.523
_cell_length_b 13.553
_cell_length_c 9.279
_cell_angle_alpha 90.00
_cell_angle_beta 90.00
_cell_angle_gamma 90.00
loop_
_symmetry_equiv_pos_as_xyz
'x,y,z'
'-x,-y,-z'
'-x+1/2,-y+1/2,z'
'x+1/2,y+1/2,-z'
'x+1/2,-y,-z'
'-x+1/2,y,z'
'-x,y+1/2,-z'
'x,-y+1/2,z'
loop_
_atom_site_label
_atom_site_type_symbol
_atom_site_fract_x
_atom_site_fract_y
_atom_site_fract_z
_atom_site_occupancy
Ca1 Ca 0.250 0.050 0.247 1
Ca2 Ca 0.250 0.750 0.255 1
Ga1 Ga 0.250 0.081 0.597 1
Ga2 Ga 0.250 0.613 0.974 1
Ga3 Ga 0.250 0.750 0.754 1
Au1 Au 0.250 0.084 0.875 1
Au2 Au 0.250 0.250 0.067 1
Au3 Au 0.250 0.250 0.430 1
Au4 Au 0.250 0.615 0.532 1
```

A plane-wave DFT calculation with PBE was carried out for a relaxed structure of Ca3Ga7Au2.

## Properties
Energy relative to the elements (kJ/mol of atoms): -20.2
Energy relative to the lowest polymorph listed for this composition (meV/atom): 261
D(E_F) (states/eV/cell): 13.0
Total moment (μB/cell): 0.00

Geometry as CIF:
```
data_Ca3Ga7Au2
_chemical_formula_sum 'Ca6 Ga14 Au4'
_symmetry_space_group_name_H-M 'C m m m'
_symmetry_Int_Tables_number 65
_symmetry_space_group_name_Hall '-C 2 2'
_cell_length_a 4.443
_cell_length_b 30.569
_cell_length_c 4.211
_cell_angle_alpha 90.00
_cell_angle_beta 90.00
_cell_angle_gamma 90.00
loop_
_atom_site_label
_atom_site_type_symbol
_atom_site_fract_x
_atom_site_fract_y
_atom_site_fract_z
_atom_site_occupancy
Ca1 Ca 0.000 0.000 0.000 1
Ca2 Ca 0.000 0.205 0.000 1
Ga1 Ga 0.000 0.128 0.500 1
Ga2 Ga 0.000 0.308 0.500 1
Ga3 Ga 0.000 0.369 0.000 1
Ga4 Ga 0.000 0.500 0.500 1
Au1 Au 0.000 0.421 0.500 1
```

A plane-wave DFT calculation with PBE was carried out for a relaxed structure of Ca2Ga7Au.

## Properties
Energy relative to the elements (kJ/mol of atoms): -42.8
Energy relative to the lowest polymorph listed for this composition (meV/atom): 0
D(E_F) (states/eV/cell): 2.2
Total moment (μB/cell): 0.00

Geometry as CIF:
```
data_Ca2Ga7Au
_chemical_formula_sum 'Ca2 Ga7 Au1'
_symmetry_space_group_name_H-M 'P 4 m m'
_symmetry_Int_Tables_number 99
_cell_length_a 4.253
_cell_length_b 4.253
_cell_length_c 11.331
_cell_angle_alpha 90.00
_cell_angle_beta 90.00
_cell_angle_gamma 90.00
loop_
_symmetry_equiv_pos_as_xyz
'x,y,z'
'-y,x,z'
'-x,-y,z'
'y,-x,z'
'-x,y,z'
'y,x,z'
'x,-y,z'
'-y,-x,z'
loop_
_atom_site_label
_atom_site_type_symbol
_atom_site_fract_x
_atom_site_fract_y
_atom_site_fract_z
_atom_site_occupancy
Ca1 Ca 0.000 0.000 0.000 1
Ca2 Ca 0.500 0.500 0.499 1
Ga1 Ga 0.000 0.000 0.385 1
Ga2 Ga 0.000 0.500 0.247 1
Ga3 Ga 0.000 0.500 0.753 1
Ga4 Ga 0.500 0.500 0.110 1
Ga5 Ga 0.500 0.500 0.891 1
Au1 Au 0.000 0.000 0.609 1
```